! Co2AgO4 | the Open Quantum Materials Database | GGA+U | relaxed; values from VASP
! **Crystal system**: cubic
! **Calculated volume**: 10.940 Å³ per atom
! **Energy**: -73.66 eV per cell
! **Spin magnetization**: 3.00 μB/f.u.
&SYSTEM
  ibrav = 0, nat = 14, ntyp = 3
/
ATOMIC_SPECIES
O 16.00 O.upf
Co 58.93 Co.upf
Ag 107.87 Ag.upf
ATOMIC_POSITIONS crystal
O 0.604 0.208 0.396
O 0.604 0.792 0.396
O 0.604 0.208 0.813
O 0.187 0.792 0.396
O 0.146 0.292 0.854
O 0.563 0.708 0.854
O 0.146 0.708 0.854
O 0.146 0.292 0.437
Co 0.375 0.750 0.125
Co 0.875 0.250 0.625
Co 0.375 0.250 0.625
Co 0.375 0.750 0.625
Ag 0.750 0.500 0.250
Ag 0.000 0.000 0.000
CELL_PARAMETERS angstrom
4.247 -4.246 0.000
-4.247 0.000 -4.246
4.247 4.246 0.000